{"formula": "Na3Dy2TeSe6", "functional": "PBE", "state": "relaxed", "cell": [[-0.6625, -3.8010, -6.1951], [3.1077, -2.9560, 5.9051], [-7.0405, -0.1421, 2.2036]], "species": ["Se", "Se", "Se", "Se", "Se", "Se", "Na", "Na", "Na", "Te", "Dy", "Dy"], "fractional_positions": [[0.5749, 0.9194, 0.7625], [0.0806, 0.4251, 0.2375], [0.9194, 0.5749, 0.7625], [0.2565, 0.2565, 0.7799], [0.4251, 0.0806, 0.2375], [0.7435, 0.7435, 0.2201], [0.8400, 0.1600, 0.5000], [0.5000, 0.5000, 0.5000], [0.1600, 0.8400, 0.5000], [0.0000, 0.0000, 0.0000], [0.3296, 0.6704, 0.0000], [0.6704, 0.3296, 0.0000]], "formation_energy_uncorrected_kj_per_mol_atoms": -115.4, "mass_density_g_cm3": 5.2, "total_magnetization_mub_per_atom": 0.08, "total_energy_ev_per_atom": -4.2973, "sg": "C2/m"}

***

{"formula": "BeH2Cl", "functional": "PBE", "state": "relaxed", "cell": [[0.0000, 2.6172, 2.6172], [2.6172, 0.0000, 2.6172], [2.6172, 2.6172, 0.0000]], "species": ["Be", "Cl", "H", "H"], "fractional_positions": [[0.0000, 0.0000, 0.0000], [0.5000, 0.5000, 0.5000], [0.2500, 0.2500, 0.2500], [0.7500, 0.7500, 0.7500]], "mass_density_g_cm3": 2.2, "total_magnetization_mub_per_atom": 0.00, "total_energy_ev_per_atom": -1.8785, "sg": "Fm-3m"}

***

{"formula": "Dy2AlGa", "functional": "PBE", "state": "relaxed", "cell": [[-4.0604, -1.7060, -0.0431], [1.5745, -3.7421, -0.2153], [2.0935, 0.5631, 5.5234]], "species": ["Ga", "Dy", "Dy", "Al"], "fractional_positions": [[0.3695, 0.0000, 0.7390], [0.0884, 0.0000, 0.1767], [0.8076, 0.5000, 0.6153], [0.5190, 0.5000, 0.0381]], "mass_density_g_cm3": 7.1, "total_magnetization_mub_per_atom": 0.00, "total_energy_ev_per_atom": -4.5028, "sg": "Amm2", "formation_enthalpy_0k_ev_per_atom": -0.51}

***

{"formula": "KGaSi", "functional": "PBE", "state": "relaxed", "cell": [[4.4225, 0.0000, 0.0000], [0.0000, 4.1466, 0.0000], [0.0000, 0.0000, 8.5488]], "species": ["Si", "Si", "K", "K", "Ga", "Ga"], "fractional_positions": [[0.0000, 0.5000, 0.2929], [0.0000, 0.0000, 0.1229], [0.5000, 0.5000, 0.9554], [0.0000, 0.0000, 0.6366], [0.5000, 0.5000, 0.4885], [0.5000, 0.0000, 0.2895]], "formation_energy_uncorrected_kj_per_mol_atoms": -1.4, "mass_density_g_cm3": 2.9, "total_magnetization_mub_per_atom": 0.00, "total_energy_ev_per_atom": -3.1968, "sg": "Pmm2"}

***

{"formula": "AcPm2ErBi4", "functional": "PBE", "state": "relaxed", "cell": [[-4.5408, 0.7972, -0.4539], [-1.5420, -5.6774, 5.4547], [-0.1517, 3.2917, 7.2990]], "species": ["Ac", "Bi", "Bi", "Bi", "Bi", "Er", "Pm", "Pm"], "fractional_positions": [[0.5000, 0.5000, 0.0000], [0.0000, 0.2421, 0.2641], [0.0000, 0.7579, 0.7359], [0.5000, 0.7494, 0.2614], [0.5000, 0.2506, 0.7386], [0.0000, 0.5000, 0.5000], [0.5000, 0.0000, 0.5000], [0.0000, 0.0000, 0.0000]], "mass_density_g_cm3": 9.0, "total_magnetization_mub_per_atom": 0.00, "total_energy_ev_per_atom": -5.1053, "sg": "P2/m", "formation_enthalpy_0k_ev_per_atom": -0.89}

***

{"formula": "Ac2ZrPbO6", "functional": "PBE", "state": "relaxed", "cell": [[-5.4834, -0.9159, -1.2526], [1.5014, -4.4589, -3.3120], [-0.4478, -3.5169, 4.5317]], "species": ["O", "O", "O", "O", "O", "O", "Pb", "Zr", "Ac", "Ac"], "fractional_positions": [[0.7420, 0.7673, 0.2327], [0.2405, 0.0000, 0.0000], [0.7420, 0.7673, 0.7673], [0.1243, 0.5000, 0.5000], [0.7420, 0.2327, 0.2327], [0.7420, 0.2327, 0.7673], [0.5407, 0.5000, 0.5000], [0.5934, 0.0000, 0.0000], [0.9900, 0.0000, 0.5000], [0.9900, 0.5000, 0.0000]], "formation_energy_uncorrected_kj_per_mol_atoms": -264.9, "mass_density_g_cm3": 7.5, "total_magnetization_mub_per_atom": 0.00, "total_energy_ev_per_atom": -7.7673, "sg": "P4mm"}

***

{"formula": "Si2As2Pb", "functional": "PBE", "state": "relaxed", "cell": [[4.8814, 0.0000, 0.0000], [0.0000, 4.8814, 0.0000], [2.4407, 2.4407, 4.3249]], "species": ["As", "As", "Si", "Si", "Pb"], "fractional_positions": [[0.2500, 0.7500, 0.5000], [0.7500, 0.2500, 0.5000], [0.3575, 0.3575, 0.2851], [0.6425, 0.6425, 0.7149], [0.0000, 0.0000, 0.0000]], "formation_energy_uncorrected_kj_per_mol_atoms": 19.4, "mass_density_g_cm3": 6.7, "total_magnetization_mub_per_atom": 0.00, "total_energy_ev_per_atom": -4.5691, "sg": "I4/mmm"}

***

{"formula": "K2GaSnBi2", "functional": "PBE", "state": "relaxed", "cell": [[-1.8465, 2.4540, 7.1944], [-1.6727, -7.1252, 2.0011], [9.0591, 1.2519, -2.3546]], "species": ["Ga", "Ga", "Sn", "Sn", "K", "K", "K", "K", "Bi", "Bi", "Bi", "Bi"], "fractional_positions": [[0.5000, 0.7500, 0.0000], [0.5000, 0.2500, 0.0000], [0.0000, 0.2500, 0.0000], [0.0000, 0.7500, 0.0000], [0.4227, 0.1629, 0.3258], [0.9031, 0.6629, 0.3258], [0.5773, 0.8371, 0.6742], [0.0969, 0.3371, 0.6742], [0.6399, 0.4062, 0.8125], [0.8274, 0.0938, 0.1875], [0.1726, 0.9062, 0.8125], [0.3601, 0.5938, 0.1875]], "mass_density_g_cm3": 5.0, "total_magnetization_mub_per_atom": 0.00, "total_energy_ev_per_atom": -3.0624, "sg": "Ibam", "formation_enthalpy_0k_ev_per_atom": -0.23}

***

{"formula": "Sb2AsN", "functional": "PBE", "state": "relaxed", "cell": [[-0.9515, -5.4375, 0.9960], [3.0273, -1.3582, -4.5226], [6.2569, -3.6569, 1.8080]], "species": ["Sb", "Sb", "Sb", "Sb", "As", "As", "N", "N"], "fractional_positions": [[0.2141, 0.6250, 0.2500], [0.3750, 0.4641, 0.7500], [0.5359, 0.1250, 0.2500], [0.8750, 0.7859, 0.7500], [0.7500, 0.2500, 0.5000], [0.0000, 0.0000, 0.0000], [0.5000, 0.5000, 0.0000], [0.2500, 0.7500, 0.5000]], "formation_energy_uncorrected_kj_per_mol_atoms": 54.4, "mass_density_g_cm3": 5.5, "total_magnetization_mub_per_atom": 0.00, "total_energy_ev_per_atom": -4.7415, "sg": "I-42d"}

***

{"formula": "DySc6", "functional": "PBE", "state": "relaxed", "cell": [[-5.2543, -1.4909, 3.1393], [3.9362, -4.9185, 0.0382], [2.7739, 4.9310, 2.7707]], "species": ["Dy", "Sc", "Sc", "Sc", "Sc", "Sc", "Sc"], "fractional_positions": [[0.0000, 0.0000, 0.0000], [0.5000, 0.2500, 0.7500], [0.2500, 0.5000, 0.7500], [0.2500, 0.7500, 0.5000], [0.7500, 0.2500, 0.5000], [0.7500, 0.5000, 0.2500], [0.5000, 0.7500, 0.2500]], "mass_density_g_cm3": 3.7, "total_magnetization_mub_per_atom": 0.00, "total_energy_ev_per_atom": -4.7787, "sg": "Im-3m", "formation_enthalpy_0k_ev_per_atom": 1.31}

***

{"formula": "Sr4BrCl", "functional": "PBE", "state": "relaxed", "cell": [[0.0000, 5.4034, 5.4034], [5.4034, 0.0000, 5.4034], [5.4034, 5.4034, 0.0000]], "species": ["Sr", "Sr", "Sr", "Sr", "Cl", "Br"], "fractional_positions": [[0.3751, 0.3751, 0.8747], [0.8747, 0.3751, 0.3751], [0.3751, 0.3751, 0.3751], [0.3751, 0.8747, 0.3751], [0.0000, 0.0000, 0.0000], [0.7500, 0.7500, 0.7500]], "formation_energy_uncorrected_kj_per_mol_atoms": -21.1, "mass_density_g_cm3": 2.5, "total_magnetization_mub_per_atom": 0.01, "total_energy_ev_per_atom": -1.9266, "sg": "F-43m"}

***

{"formula": "CsPdF", "functional": "PBE", "state": "relaxed", "cell": [[-3.7423, -1.4337, 2.7951], [-0.4380, -7.1644, -4.2779], [4.5131, 0.2371, 1.8989]], "species": ["Pd", "Pd", "Cs", "Cs", "F", "F"], "fractional_positions": [[0.7436, 0.3252, 0.4486], [0.0771, 0.3275, 0.1154], [0.3103, 0.0250, 0.5821], [0.5057, 0.6190, 0.9712], [0.1646, 0.5937, 0.2895], [0.9904, 0.0633, 0.9426]], "formation_energy_uncorrected_kj_per_mol_atoms": -116.1, "mass_density_g_cm3": 5.2, "total_magnetization_mub_per_atom": 0.00, "total_energy_ev_per_atom": -3.8420, "sg": "P1"}

***

{"formula": "FeSi2Ir", "functional": "PBE", "state": "relaxed", "cell": [[4.4606, 0.0002, 0.0054], [3.5491, 2.7021, 0.0054], [1.0252, 0.3459, 4.0988]], "species": ["Ir", "Fe", "Si", "Si"], "fractional_positions": [[0.7433, 0.7433, 0.8114], [0.5123, 0.5123, 0.4106], [0.2464, 0.2464, 0.3146], [0.9980, 0.9980, 0.9635]], "formation_energy_uncorrected_kj_per_mol_atoms": -45.2, "mass_density_g_cm3": 10.2, "total_magnetization_mub_per_atom": 0.00, "total_energy_ev_per_atom": -7.5114, "sg": "Cm"}

***

{"formula": "Cs2In3Br6", "functional": "PBE", "state": "relaxed", "cell": [[-5.2429, 2.5123, 0.7270], [-2.4564, -2.7342, -8.2660], [-1.5475, -5.3027, 7.1641]], "species": ["In", "In", "In", "Cs", "Cs", "Br", "Br", "Br", "Br", "Br", "Br"], "fractional_positions": [[0.5000, 0.7692, 0.7692], [0.5000, 0.2308, 0.0000], [0.5000, 0.0000, 0.2308], [0.0000, 0.6667, 0.3333], [0.0000, 0.3333, 0.6667], [0.0000, 0.0000, 0.2418], [0.5000, 0.4378, 0.4378], [0.0000, 0.7582, 0.7582], [0.5000, 0.0000, 0.5622], [0.0000, 0.2418, 0.0000], [0.5000, 0.5622, 0.0000]], "formation_energy_uncorrected_kj_per_mol_atoms": -101.5, "mass_density_g_cm3": 4.4, "total_magnetization_mub_per_atom": 0.00, "total_energy_ev_per_atom": -2.8669, "sg": "P-62m"}

***

{"formula": "Rb2PuGaCl6", "functional": "PBE", "state": "relaxed", "cell": [[-2.1903, -7.1796, 1.3605], [6.8598, -1.3320, 4.0145], [-4.8452, 3.1478, 9.3236]], "species": ["Cl", "Cl", "Cl", "Cl", "Cl", "Cl", "Cl", "Cl", "Cl", "Cl", "Cl", "Cl", "Rb", "Rb", "Rb", "Rb", "Pu", "Pu", "Ga", "Ga"], "fractional_positions": [[0.2134, 0.1904, 0.4499], [0.1833, 0.2169, 0.0496], [0.3167, 0.7169, 0.4504], [0.5975, 0.0345, 0.2618], [0.0975, 0.4655, 0.7618], [0.4025, 0.9655, 0.7382], [0.7134, 0.3096, 0.9499], [0.7866, 0.8096, 0.5501], [0.6833, 0.2831, 0.5496], [0.9025, 0.5345, 0.2382], [0.2866, 0.6904, 0.0501], [0.8167, 0.7831, 0.9504], [0.5219, 0.5655, 0.7494], [0.9781, 0.0655, 0.7506], [0.4781, 0.4345, 0.2506], [0.0219, 0.9345, 0.2494], [0.0000, 0.5000, 0.0000], [0.5000, 0.0000, 0.5000], [0.0000, 0.5000, 0.5000], [0.5000, 0.0000, 0.0000]], "formation_energy_uncorrected_kj_per_mol_atoms": -166.2, "mass_density_g_cm3": 3.4, "total_magnetization_mub_per_atom": 0.50, "total_energy_ev_per_atom": -4.7595, "sg": "P2_1/c"}

***

{"formula": "AlCd2In", "functional": "PBE", "state": "relaxed", "cell": [[6.2403, -0.1327, -0.0559], [3.1272, 5.4017, 0.0559], [-3.8509, -4.1153, 2.6827]], "species": ["Cd", "Cd", "Al", "In"], "fractional_positions": [[0.2449, 0.7449, 0.5000], [0.9874, 0.9874, 0.0000], [0.7560, 0.2560, 0.5000], [0.5117, 0.5117, 0.0000]], "mass_density_g_cm3": 6.6, "total_magnetization_mub_per_atom": 0.00, "total_energy_ev_per_atom": -1.9466, "sg": "Imm2", "formation_enthalpy_0k_ev_per_atom": 0.13}

***

{"formula": "Cs2YSiS4", "functional": "PBE", "state": "relaxed", "cell": [[-1.0981, -6.2345, -1.7574], [-0.3690, -5.1042, 6.0576], [-13.3167, -1.1229, 0.0239]], "species": ["S", "S", "S", "S", "S", "S", "S", "S", "Y", "Y", "Si", "Si", "Cs", "Cs", "Cs", "Cs"], "fractional_positions": [[0.4114, 0.6740, 0.4075], [0.8354, 0.8260, 0.9075], [0.9146, 0.6740, 0.5925], [0.3386, 0.8260, 0.0925], [0.4929, 0.3260, 0.5925], [0.1811, 0.3260, 0.4075], [0.2571, 0.1740, 0.9075], [0.5689, 0.1740, 0.0925], [0.7500, 0.5000, 0.5000], [0.0000, 0.0000, 0.0000], [0.2500, 0.5000, 0.5000], [0.5000, 0.0000, 0.0000], [0.1789, 0.0000, 0.6422], [0.5711, 0.5000, 0.8578], [0.9289, 0.5000, 0.1422], [0.8211, 0.0000, 0.3578]], "formation_energy_uncorrected_kj_per_mol_atoms": -112.8, "mass_density_g_cm3": 2.8, "total_magnetization_mub_per_atom": 0.00, "total_energy_ev_per_atom": -4.9316, "sg": "Fddd"}

***

{"formula": "PrAl3Ag", "functional": "PBE", "state": "relaxed", "cell": [[5.8991, 0.0002, -0.0002], [-0.0002, 6.4437, 0.0003], [0.0003, -3.2219, 5.5799]], "species": ["Ag", "Ag", "Al", "Al", "Al", "Al", "Al", "Al", "Pr", "Pr"], "fractional_positions": [[0.5000, 0.0000, 0.0000], [0.0000, 0.0000, 0.0000], [0.7501, 0.1970, 0.3940], [0.2499, 0.8030, 0.6060], [0.2499, 0.8030, 0.1969], [0.7501, 0.6061, 0.8031], [0.2499, 0.3939, 0.1970], [0.7501, 0.1970, 0.8031], [0.7499, 0.6667, 0.3334], [0.2501, 0.3333, 0.6666]], "mass_density_g_cm3": 5.2, "total_magnetization_mub_per_atom": 0.00, "total_energy_ev_per_atom": -4.0126, "sg": "P6_3/mmc", "formation_enthalpy_0k_ev_per_atom": -0.24}

***

{"formula": "Zn2Fe2Co4C", "functional": "PBE", "state": "relaxed", "cell": [[5.1450, 0.0299, 0.0432], [-2.4434, 4.5278, -0.0432], [-2.4434, -1.6312, 4.2240]], "species": ["Zn", "Zn", "Co", "Co", "Co", "Co", "C", "Fe", "Fe"], "fractional_positions": [[0.5000, 0.2500, 0.7500], [0.5000, 0.7500, 0.2500], [0.4941, 0.7470, 0.7470], [0.5059, 0.2530, 0.2530], [0.0000, 0.2530, 0.7470], [0.0000, 0.7470, 0.2530], [0.0000, 0.0000, 0.0000], [0.0000, 0.7228, 0.7228], [0.0000, 0.2772, 0.2772]], "mass_density_g_cm3": 8.2, "total_magnetization_mub_per_atom": 0.88, "total_energy_ev_per_atom": -6.3576, "sg": "I4/mmm", "formation_enthalpy_0k_ev_per_atom": -0.01}

***

{"formula": "BaZr2Al2", "functional": "PBE", "state": "relaxed", "cell": [[5.0581, 0.0000, 0.0000], [0.0000, 5.0581, 0.0000], [2.5290, 2.5290, 5.7038]], "species": ["Al", "Al", "Ba", "Zr", "Zr"], "fractional_positions": [[0.7500, 0.2500, 0.5000], [0.2500, 0.7500, 0.5000], [0.0000, 0.0000, 0.0000], [0.6537, 0.6537, 0.6926], [0.3463, 0.3463, 0.3074]], "mass_density_g_cm3": 4.3, "total_magnetization_mub_per_atom": 0.00, "total_energy_ev_per_atom": -5.0788, "sg": "I4/mmm", "formation_enthalpy_0k_ev_per_atom": 0.22}

***

{"formula": "Tb2YHo8", "functional": "PBE", "state": "relaxed", "cell": [[-2.8846, 0.9292, 4.5700], [-4.8347, -6.2816, -1.7744], [8.6448, -2.1379, 2.6058]], "species": ["Y", "Ho", "Ho", "Ho", "Ho", "Ho", "Ho", "Ho", "Ho", "Tb", "Tb"], "fractional_positions": [[0.5000, 0.0000, 0.0000], [0.3614, 0.5676, 0.7228], [0.8393, 0.8395, 0.6790], [0.6386, 0.4324, 0.2772], [0.1607, 0.1605, 0.3210], [0.0000, 0.2948, 0.0000], [0.3614, 0.1552, 0.7228], [0.0000, 0.7052, 0.0000], [0.6386, 0.8448, 0.2772], [0.2015, 0.7016, 0.4033], [0.7985, 0.2984, 0.5967]], "mass_density_g_cm3": 8.2, "total_magnetization_mub_per_atom": 0.00, "total_energy_ev_per_atom": -4.6406, "sg": "Immm", "formation_enthalpy_0k_ev_per_atom": 0.12}

***

{"formula": "PdW2I2", "functional": "PBE", "state": "relaxed", "cell": [[6.9465, 0.0000, 0.0000], [0.0000, 6.9465, 0.0000], [0.0000, 0.0000, 4.3924]], "species": ["Pd", "Pd", "W", "W", "W", "W", "I", "I", "I", "I"], "fractional_positions": [[0.5000, 0.5000, 0.0000], [0.0000, 0.0000, 0.0000], [0.8748, 0.6252, 0.0000], [0.6252, 0.1252, 0.0000], [0.1252, 0.3748, 0.0000], [0.3748, 0.8748, 0.0000], [0.1726, 0.6726, 0.5000], [0.3274, 0.1726, 0.5000], [0.8274, 0.3274, 0.5000], [0.6726, 0.8274, 0.5000]], "formation_energy_uncorrected_kj_per_mol_atoms": 112.7, "mass_density_g_cm3": 11.4, "total_magnetization_mub_per_atom": 0.00, "total_energy_ev_per_atom": -5.6717, "sg": "P4/mbm"}

***

{"formula": "YRePb", "functional": "PBE", "state": "relaxed", "cell": [[-0.4045, 4.6810, 0.8008], [-0.6116, 1.6136, 4.4428], [3.5196, 2.3568, 2.1851]], "species": ["Re", "Pb", "Y"], "fractional_positions": [[0.2500, 0.2500, 0.2500], [0.5000, 0.5000, 0.5000], [0.0000, 0.0000, 0.0000]], "mass_density_g_cm3": 10.5, "total_magnetization_mub_per_atom": 0.00, "total_energy_ev_per_atom": -6.9673, "sg": "F-43m", "formation_enthalpy_0k_ev_per_atom": 0.57}

***

{"formula": "CsYTc2", "functional": "PBE", "state": "relaxed", "cell": [[2.9305, -2.9243, -2.7787], [-1.0105, -4.8645, -0.4197], [-1.6838, -1.8328, -4.3205]], "species": ["Tc", "Tc", "Y", "Cs"], "fractional_positions": [[0.7500, 0.7500, 0.7500], [0.2500, 0.2500, 0.2500], [0.0000, 0.0000, 0.0000], [0.5000, 0.5000, 0.5000]], "mass_density_g_cm3": 7.9, "total_magnetization_mub_per_atom": 0.39, "total_energy_ev_per_atom": -5.4385, "sg": "Fm-3m", "formation_enthalpy_0k_ev_per_atom": 1.57}